(1)
# Rb3CuHg2Br8

An optimized crystal structure of Rb3CuHg2Br8 (GGA-PBE, Alexandria).

For the formation energy from raw total energies, the calculation gives -948 meV per atom. The calculation puts the size of the total moment at 0.000 μB/f.u. The calculation puts the calculated volume at 37.39 A^3/atom.

Lattice parameters (Å, degrees): 7.7952 7.7952 9.9467 90.00 90.00 120.00
Closest atoms and distances in Å follow each position.
Space group P-3m1 (No. 164)
One atom of each set of equivalent atoms:
Rb 0.0000 0.0000 0.0000 (multiplicity 1)  6 Br 3.92
Rb 0.3333 0.6667 0.6068 (multiplicity 2)  4 Br 3.37-3.63
Cu 0.0000 0.0000 0.5000 (multiplicity 1)  6 Br 2.66
Hg 0.3333 0.6667 0.2046 (multiplicity 2)  4 Br 2.58-2.73
Br 0.1549 0.3097 0.3339 (multiplicity 6)  1 Cu 2.66, 1 Hg 2.73
Br 0.3333 0.6667 0.9453 (multiplicity 2)  1 Hg 2.58

---

(2)
# PuMgCu2

An optimized crystal structure of PuMgCu2 (GGA-PBE, Alexandria).

Its calculated formation energy is 0.00 eV per atom. The calculation puts the size of the total moment at 5.595 μB/f.u. The calculation puts the calculated volume at 17.61 A^3/atom.

Lattice parameters (Å, degrees): 3.0806 3.0806 7.4222 90.00 90.00 90.00
Closest atoms and distances in Å follow each position.
Space group P4/mmm (No. 123)
One atom of each set of equivalent atoms:
Pu 0.0000 0.0000 0.0000 (multiplicity 1)  8 Cu 3.02, 4 Pu 3.08
Mg 0.0000 0.0000 0.5000 (multiplicity 1)  8 Cu 2.72
Cu 0.5000 0.5000 0.2811 (multiplicity 2)  4 Mg 2.72, 4 Pu 3.02

---

(3)
# MgTa2Ni

An optimized crystal structure of MgTa2Ni (GGA-PBE, Alexandria).

Its calculated formation energy is 0.08 eV per atom. The calculation puts the size of the total moment at 0.000 μB/f.u. The calculation puts the calculated volume at 16.51 A^3/atom.

Lattice parameters (Å, degrees): 3.1901 4.3993 9.4093 90.00 90.00 90.00
Closest atoms and distances in Å follow each position.
Space group Immm (No. 71)
One atom of each set of equivalent atoms:
Mg 0.0000 0.0000 0.0000 (multiplicity 2)  4 Ni 2.72, 4 Ta 2.99
Ta 0.0000 0.5000 0.2317 (multiplicity 4)  2 Ni 2.70, 4 Ta 2.74, 2 Mg 2.99
Ni 0.0000 0.0000 0.5000 (multiplicity 2)  4 Ta 2.70, 4 Mg 2.72

---

(4)
# CaMgBr2

An optimized crystal structure of CaMgBr2 (GGA-PBE, Alexandria).

For the formation energy from raw total energies, the calculation gives -1187 meV per atom. The value obtained for the energy above the most stable polymorph in this dataset is 0.050 eV/atom. The calculation puts the size of the total moment at 0.000 μB/f.u. The calculation puts the calculated volume at 33.25 A^3/atom.

Lattice parameters (Å, degrees): 5.9674 4.0219 6.2750 90.00 117.99 90.00
Closest atoms and distances in Å follow each position.
Space group Pm (No. 6)
One atom of each set of equivalent atoms:
Ca 0.0000 0.0000 0.0000 (multiplicity 1)  4 Br 2.88-3.04
Mg 0.2674 0.5000 0.5103 (multiplicity 1)  4 Br 2.94-3.11
Br 0.4497 0.0000 0.8964 (multiplicity 1)  2 Mg 2.94, 2 Ca 3.03-3.04
Br 0.8154 0.5000 0.6270 (multiplicity 1)  2 Ca 2.88, 2 Mg 3.00-3.11

---

(5)
# Rh2SeCl

An optimized crystal structure of Rh2SeCl (GGA-PBE, Alexandria).

For the formation energy from raw total energies, the calculation gives 106 meV per atom. The value obtained for the energy above the most stable polymorph in this dataset is 0.166 eV/atom. The calculation puts the size of the total moment at 0.000 μB/f.u. The calculation puts the calculated volume at 20.74 A^3/atom.

Lattice parameters (Å, degrees): 6.0621 6.0621 9.0292 90.00 90.00 90.00
Closest atoms and distances in Å follow each position.
Space group I-42d (No. 122)
One atom of each set of equivalent atoms:
Rh 0.2284 0.2500 0.1250 (multiplicity 8)  2 Se 2.34, 2 Cl 2.51
Se 0.0000 0.0000 0.0000 (multiplicity 4)  4 Rh 2.34
Cl 0.0000 0.0000 0.5000 (multiplicity 4)  4 Rh 2.51

---

(6)
# CeU2SiN5

An optimized crystal structure of CeU2SiN5 (GGA-PBE, Alexandria).

For the formation energy from raw total energies, the calculation gives -1138 meV per atom. The calculation puts the size of the total moment at 2.577 μB/f.u. The calculation puts the calculated volume at 12.74 A^3/atom.

Lattice parameters (Å, degrees): 6.4584 6.4584 5.4982 90.00 90.00 90.00
Closest atoms and distances in Å follow each position.
Space group P4/mbm (No. 127)
One atom of each set of equivalent atoms:
Ce 0.0000 0.0000 0.0000 (multiplicity 2)  10 N 2.75-2.80
U 0.1736 0.3264 0.5000 (multiplicity 4)  4 N 2.22-2.39
Si 0.0000 0.5000 0.0000 (multiplicity 2)  4 N 1.84
N 0.0000 0.0000 0.5000 (multiplicity 2)  4 U 2.39
N 0.1425 0.6425 0.2357 (multiplicity 8)  1 Si 1.84

---

(7)
# LiScTl2Bi

An optimized crystal structure of LiScTl2Bi (GGA-PBE, Alexandria).

Its calculated formation energy is 0.52 eV per atom. The calculation puts the size of the total moment at 1.196 μB/f.u. The calculation puts the calculated volume at 33.36 A^3/atom.

Lattice parameters (Å, degrees): 5.5754 5.5754 5.3651 90.00 90.00 90.00
Closest atoms and distances in Å follow each position.
Space group P4/mmm (No. 123)
One atom of each set of equivalent atoms:
Li 0.0000 0.0000 0.0000 (multiplicity 1)  2 Sc 2.68
Sc 0.0000 0.0000 0.5000 (multiplicity 1)  2 Li 2.68, 4 Tl 2.79
Tl 0.0000 0.5000 0.5000 (multiplicity 2)  2 Sc 2.79
Bi 0.5000 0.5000 0.0000 (multiplicity 1)  8 Tl 3.87, 4 Li 3.94

---

(8)
# CsK2NaSi

An optimized crystal structure of CsK2NaSi (GGA-PBE, Alexandria).

For the formation energy from raw total energies, the calculation gives 200 meV per atom. The calculation puts the size of the total moment at 0.000 μB/f.u. The calculation puts the calculated volume at 52.88 A^3/atom.

Lattice parameters (Å, degrees): 6.6593 6.6593 5.9622 90.00 90.00 90.00
Closest atoms and distances in Å follow each position.
Space group P4/mmm (No. 123)
One atom of each set of equivalent atoms:
Cs 0.0000 0.0000 0.0000 (multiplicity 1)  8 K 4.47, 4 Na 4.71
K 0.0000 0.5000 0.5000 (multiplicity 2)  2 Si 3.33
Na 0.5000 0.5000 0.0000 (multiplicity 1)  2 Si 2.98
Si 0.5000 0.5000 0.5000 (multiplicity 1)  2 Na 2.98, 4 K 3.33

---

(9)
# SrCu3C

An optimized crystal structure of SrCu3C (GGA-PBE, Alexandria).

Its calculated formation energy is 0.42 eV per atom. The value obtained for the energy above the most stable polymorph in this dataset is 0.000 eV/atom. The calculation puts the size of the total moment at 0.000 μB/f.u. The calculation puts the calculated volume at 14.63 A^3/atom.

Lattice parameters (Å, degrees): 4.1819 4.1819 4.1819 90.00 90.00 90.00
Closest atoms and distances in Å follow each position.
Space group Pm-3m (No. 221)
One atom of each set of equivalent atoms:
Sr 0.0000 0.0000 0.0000 (multiplicity 1)  12 Cu 2.96
Cu 0.0000 0.5000 0.5000 (multiplicity 3)  2 C 2.09
C 0.5000 0.5000 0.5000 (multiplicity 1)  6 Cu 2.09

---

(10)
# NiAs2Ru

An optimized crystal structure of NiAs2Ru (GGA-PBE, Alexandria).

Its calculated formation energy is -0.08 eV per atom. The value obtained for the energy above the most stable polymorph in this dataset is 0.036 eV/atom. The calculation puts the size of the total moment at 0.000 μB/f.u. The calculation puts the calculated volume at 16.84 A^3/atom.

Lattice parameters (Å, degrees): 3.0471 3.0471 7.2544 90.00 90.00 90.00
Closest atoms and distances in Å follow each position.
Space group P4mm (No. 99)
One atom of each set of equivalent atoms:
Ni 0.0000 0.0000 0.0000 (multiplicity 1)  4 As 2.42
As 0.0000 0.0000 0.4126 (multiplicity 1)  4 Ru 2.52
As 0.5000 0.5000 0.8487 (multiplicity 1)  4 Ni 2.42
Ru 0.5000 0.5000 0.2319 (multiplicity 1)  5 As 2.52-2.78, 4 Ni 2.73

---

(11)
# CuNiPd2Pt2

An optimized crystal structure of CuNiPd2Pt2 (GGA-PBE, Alexandria).

Its calculated formation energy is 0.04 eV per atom. The calculation puts the size of the total moment at 1.272 μB/f.u. The calculation puts the calculated volume at 14.63 A^3/atom.

Lattice parameters (Å, degrees): 5.0062 5.3309 6.6357 90.00 97.54 90.00
Closest atoms and distances in Å follow each position.
Space group P2_1/m (No. 11)
One atom of each set of equivalent atoms:
Cu 0.0161 0.2500 0.0003 (multiplicity 2)  3 Pt 2.48-2.62, 1 Ni 2.62, 2 Cu 2.67, 4 Pd 2.70-2.76
Ni 0.2982 0.7500 0.3479 (multiplicity 2)  4 Pt 2.51-2.67, 1 Cu 2.62, 4 Pd 2.71-2.74
Pd 0.1775 0.9997 0.6846 (multiplicity 4)  3 Pd 2.66-2.83, 2 Cu 2.70-2.76, 3 Ni 2.71-2.98, 5 Pt 2.78-2.85
Pt 0.3267 0.2500 0.3494 (multiplicity 2)  3 Ni 2.56-2.67, 1 Cu 2.62, 1 Pt 2.70, 6 Pd 2.78-2.85
Pt 0.4818 0.7500 0.0129 (multiplicity 2)  2 Cu 2.48-2.53, 1 Ni 2.51, 3 Pt 2.68-2.70

---

(12)
# Rb2TaHgS4

An optimized crystal structure of Rb2TaHgS4 (GGA-PBE, Alexandria).

For the formation energy from raw total energies, the calculation gives -901 meV per atom. The calculation puts the size of the total moment at 0.000 μB/f.u. The calculation puts the calculated volume at 32.99 A^3/atom.

Lattice parameters (Å, degrees): 7.8578 7.8578 8.5496 90.00 90.00 90.00
Closest atoms and distances in Å follow each position.
Space group I-4 (No. 82)
One atom of each set of equivalent atoms:
Rb 0.0000 0.0000 0.0000 (multiplicity 2)  8 S 3.56-3.88
Rb 0.0000 0.5000 0.2500 (multiplicity 2)  4 S 3.27
Ta 0.0000 0.0000 0.5000 (multiplicity 2)  4 S 2.30
Hg 0.0000 0.5000 0.7500 (multiplicity 2)  4 S 2.82
S 0.1485 0.1932 0.6484 (multiplicity 8)  1 Ta 2.30

---

| no. | DFT total energy (eV per atom) |
| --- | --- |
| 1 | -2.447 |
| 2 | -6.025 |
| 3 | -7.693 |
| 4 | -2.922 |
| 5 | -4.903 |
| 6 | -9.534 |
| 7 | -2.857 |
| 8 | -1.758 |
| 9 | -4.217 |
| 10 | -6.173 |
| 11 | -5.349 |
| 12 | -4.726 |